[1]
DFT (PBE+U) results for a geometry-optimized MoCIO2 structure.

The density of states at the Fermi level is 1.84 states/eV per cell. As for the energy above the most stable polymorph in this dataset: 946 meV/atom.

It has space group P4/mmm (No. 123), with a = 3.984 Å, b = 3.984 Å, c = 4.354 Å, α = 90.00°, β = 90.00° and γ = 90.00°. The asymmetric unit holds Mo at (0.000, 0.000, 0.000), C at (0.500, 0.500, 0.500), I at (0.500, 0.500, 0.000) and O at (0.000, 0.500, 0.500).

[2]
DFT (PBE+U) results for a geometry-optimized MoCIO2 structure.

The density of states at the Fermi level is 0.65 states/eV per cell. As for the energy above the most stable polymorph in this dataset: 0 meV/atom.

It has space group P4/mmm (No. 123), with a = 3.822 Å, b = 3.822 Å, c = 7.391 Å, α = 90.00°, β = 90.00° and γ = 90.00°. The asymmetric unit holds Mo at (0.000, 0.000, 0.000), C at (0.500, 0.500, 0.500), I at (0.000, 0.000, 0.500) and O at (0.000, 0.500, 0.000).

[3]
DFT (PBE+U) results for a geometry-optimized MoCI2O structure.

The density of states at the Fermi level is 2.81 states/eV per cell. As for the energy above the most stable polymorph in this dataset: 193 meV/atom.

It has space group P4/mmm (No. 123), with a = 5.822 Å, b = 5.822 Å, c = 3.238 Å, α = 90.00°, β = 90.00° and γ = 90.00°. The asymmetric unit holds Mo at (0.000, 0.000, 0.000), C at (0.500, 0.500, 0.500), I at (0.000, 0.500, 0.500) and O at (0.500, 0.500, 0.000).

> What is the formula in the third record?

MoCI2O

Copy entry 1 word for word.
DFT (PBE+U) results for a geometry-optimized MoCIO2 structure.

The density of states at the Fermi level is 1.84 states/eV per cell. As for the energy above the most stable polymorph in this dataset: 946 meV/atom.

It has space group P4/mmm (No. 123), with a = 3.984 Å, b = 3.984 Å, c = 4.354 Å, α = 90.00°, β = 90.00° and γ = 90.00°. The asymmetric unit holds Mo at (0.000, 0.000, 0.000), C at (0.500, 0.500, 0.500), I at (0.500, 0.500, 0.000) and O at (0.000, 0.500, 0.500).